[1]
Compound: Be2PbCl
Source: Alexandria
Functional: PBE
Structure: relaxed

Calculated values
Space-group type: P4/mmm, No. 123
Crystal system: tetragonal
V in Å³/cell: 74.6
Formation energy from raw total energies in eV/atom: 0.710
Relative energy among the computed polymorphs in eV per formula unit: 2.131

a = 4.7735 Å, b = 4.7735 Å, c = 3.2733 Å
α = 90.00°, β = 90.00°, γ = 90.00°
Fractional positions:
1 Be 0.0000 0.5000 0.0000
2 Be 0.5000 0.0000 0.0000
3 Pb 0.0000 0.0000 0.5000
4 Cl 0.5000 0.5000 0.5000

[2]
Compound: RbBePbCl5
Source: Alexandria
Functional: PBE
Structure: relaxed

Calculated values
Space-group type: C2/c, No. 15
Crystal system: monoclinic
V in Å³/cell: 507.0
Formation energy from raw total energies in eV/atom: -1.458

a = 7.5804 Å, b = 7.5804 Å, c = 10.1022 Å
α = 104.61°, β = 104.61°, γ = 105.91°
Fractional positions:
1 Rb 0.1425 0.8575 0.7500
2 Rb 0.8575 0.1425 0.2500
3 Be 0.1898 0.8102 0.2500
4 Be 0.8102 0.1898 0.7500
5 Pb 0.5000 0.5000 0.0000
6 Pb 0.5000 0.5000 0.5000
7 Cl 0.0726 0.2529 0.9098
8 Cl 0.1718 0.6030 0.3484
9 Cl 0.2529 0.0726 0.4098
10 Cl 0.3970 0.8282 0.1516
11 Cl 0.4020 0.5980 0.7500
12 Cl 0.5980 0.4020 0.2500
13 Cl 0.6030 0.1718 0.8484
14 Cl 0.7471 0.9274 0.5902
15 Cl 0.8282 0.3970 0.6516
16 Cl 0.9274 0.7471 0.0902

[3]
Compound: BePbS2Cl
Source: Alexandria
Functional: PBE
Structure: relaxed

Calculated values
Space-group type: P4/mmm, No. 123
Crystal system: tetragonal
V in Å³/cell: 113.4
Formation energy from raw total energies in eV/atom: -0.296
Relative energy among the computed polymorphs in eV per formula unit: 0.000

a = 4.4204 Å, b = 4.4204 Å, c = 5.8016 Å
α = 90.00°, β = 90.00°, γ = 90.00°
Fractional positions:
1 Be 0.0000 0.0000 0.0000
2 Pb 0.5000 0.5000 0.5000
3 S 0.0000 0.5000 0.0000
4 S 0.5000 0.0000 0.0000
5 Cl 0.0000 0.0000 0.5000